No. 1
VASP calculation (GGA-PBE) on crystalline TaZn2Br at its relaxed geometry.

The raw formation energy is 22.89 kJ/mol of atoms.

The space group is Pmm2 (No. 25) and the conventional cell measures 3.033, 4.685 and 5.051 Å, with angles of 90.00, 90.00 and 90.00 degrees. The asymmetric unit holds Ta at (0.000, 0.000, 0.000), Zn at (0.500, 0.000, 0.506), Zn at (0.500, 0.500, 0.778) and Br at (0.000, 0.500, 0.246).

***

No. 2
VASP calculation (GGA-PBE) on crystalline TaZn2Br at its relaxed geometry.

The raw formation energy is 45.69 kJ/mol of atoms.

The space group is Pmmm (No. 47) and the conventional cell measures 3.005, 4.577 and 5.223 Å, with angles of 90.00, 90.00 and 90.00 degrees. The asymmetric unit holds Ta at (0.000, 0.000, 0.000), Zn at (0.000, 0.500, 0.500), Zn at (0.500, 0.000, 0.500) and Br at (0.500, 0.500, 0.000).

***

No. 3
VASP calculation (GGA-PBE) on crystalline TaZn2Br at its relaxed geometry.

The raw formation energy is 43.25 kJ/mol of atoms.

The space group is P2/m (No. 10) and the conventional cell measures 3.034, 5.081 and 5.008 Å, with angles of 90.00, 95.40 and 90.00 degrees. The asymmetric unit holds Ta at (0.000, 0.000, 0.000), Zn at (0.351, 0.500, 0.223) and Br at (0.000, 0.000, 0.500).

***

No. 4
VASP calculation (GGA-PBE) on crystalline TaZnBr3 at its relaxed geometry.

The raw formation energy is -6.81 kJ/mol of atoms.

The space group is Pm-3m (No. 221) and the conventional cell measures 5.186, 5.186 and 5.186 Å, with angles of 90.00, 90.00 and 90.00 degrees. The asymmetric unit holds Ta at (0.000, 0.000, 0.000), Zn at (0.500, 0.500, 0.500) and Br at (0.000, 0.000, 0.500).